(1)
HoTlZn | Alexandria via LeMat-Bulk | PBE-GGA | relaxed; calculated formation energy = -0.2719 eV per atom; uncorrected energy = -9.0 eV/cell; space-group type = P-6m2, No. 187
1.0
-2.1725 0.8499 -2.7786
-3.7591 -1.0033 2.6322
1.7481 4.3600 -0.0332
Zn Ho Tl
1 1 1
direct
0.1669 0.0000 0.0000
0.6668 0.6667 0.3333
0.1664 0.3333 0.6667

(2)
Ba8Se4S3Cl | Alexandria via LeMat-Bulk | PBE-GGA | relaxed; uncorrected energy = -76.3 eV/cell; space-group type = R-3m, No. 166; formation energy without anion corrections = -2.044 eV/atom
1.0
-5.6953 1.0666 7.2495
-1.6393 -9.1206 0.0540
8.7158 3.1584 0.4422
Ba S Se Cl
8 3 4 1
direct
0.7468 0.2530 0.4936
0.7472 0.7420 0.4945
0.2533 0.7474 0.9941
0.2528 0.2580 0.5055
0.2532 0.7470 0.5064
0.7467 0.2526 0.0059
0.7408 0.7474 0.9941
0.2592 0.2526 0.0059
0.0000 0.5000 0.5000
0.5000 0.5000 0.5000
0.5000 0.5000 0.0000
0.5000 0.0000 0.0000
0.0000 0.0000 0.5000
0.0000 0.0000 0.0000
0.5000 0.0000 0.5000
0.0000 0.5000 0.0000

(3)
Ce2CoGe5 | Alexandria via LeMat-Bulk | PBE-GGA | relaxed; calculated formation energy = -0.4433 eV per atom; uncorrected energy = -45.6 eV/cell; space-group type = I4mm, No. 107
1.0
6.1661 -0.0912 -0.1300
-3.1152 5.3220 0.1300
-3.1152 -1.6882 5.0489
Ge Ce Co
5 2 1
direct
0.5523 0.2689 0.2689
0.0000 0.2721 0.2721
0.0000 0.2689 0.7166
0.0000 0.7166 0.2689
0.4477 0.7166 0.7166
0.5000 0.2345 0.7345
0.5000 0.7345 0.2345
0.0000 0.0101 0.0101

(4)
CuS3F2 | Alexandria via LeMat-Bulk | PBE-GGA | relaxed; uncorrected energy = -46.8 eV/cell; space-group type = C2/c, No. 15; formation energy without anion corrections = -0.529 eV/atom
1.0
8.6127 -0.9072 -0.0929
-2.9619 8.1381 -0.0929
0.6002 0.7681 4.2143
S F Cu
6 4 2
direct
0.4099 0.5901 0.7500
0.5901 0.4099 0.2500
0.2383 0.5833 0.4529
0.5833 0.2383 0.9529
0.7617 0.4167 0.5471
0.4167 0.7617 0.0471
0.9971 0.6874 0.0707
0.3126 0.0029 0.4293
0.0029 0.3126 0.9293
0.6874 0.9971 0.5707
0.8291 0.1709 0.7500
0.1709 0.8291 0.2500

(5)
DyEr3Tm12 | Alexandria via LeMat-Bulk | PBE-GGA | relaxed; calculated formation energy = 0.0257 eV per atom; uncorrected energy = -71.5 eV/cell; space-group type = P4/mmm, No. 123
1.0
4.9324 0.0000 0.0000
0.0000 4.9324 0.0000
0.0000 0.0000 19.7265
Er Tm Dy
3 12 1
direct
0.0000 0.0000 0.2502
0.0000 0.0000 0.5000
0.0000 0.0000 0.7498
0.5000 0.5000 0.0000
0.5000 0.0000 0.6249
0.5000 0.0000 0.3751
0.5000 0.5000 0.5000
0.5000 0.0000 0.1254
0.0000 0.5000 0.8746
0.0000 0.5000 0.1254
0.5000 0.0000 0.8746
0.5000 0.5000 0.2503
0.0000 0.5000 0.6249
0.5000 0.5000 0.7497
0.0000 0.5000 0.3751
0.0000 0.0000 0.0000

(6)
BaCa2YCo | Alexandria via LeMat-Bulk | PBE-GGA | relaxed; calculated formation energy = 0.0762 eV per atom; uncorrected energy = -19.1 eV/cell; space-group type = P4/mmm, No. 123
1.0
5.7397 0.0000 0.0000
0.0000 5.7397 0.0000
0.0000 0.0000 5.2693
Ba Ca Y Co
1 2 1 1
direct
0.5000 0.5000 0.5000
0.0000 0.5000 0.0000
0.5000 0.0000 0.0000
0.0000 0.0000 0.5000
0.0000 0.0000 0.0000